[1]
VASP calculation (PBEsol) on a relaxed LiTl2Sb crystal.

abc: 3.286 4.107 7.566
angles: 90.00 90.00 90.00
Atoms (fractional coordinates):
Tl: 0.500 0.500 0.278
Tl: 0.000 0.000 0.982
Li: 0.000 0.000 0.536
Sb: 0.500 0.500 0.704

Summary:
raw total energy = -12.34 eV per cell
space group = No. 25
D(E_F) = 1.831 states/eV per cell
crystal system = orthorhombic
theoretical density = 8.7 g/cm³

---

[2]
VASP calculation (PBEsol) on a relaxed LiTl2Sb crystal.

abc: 3.288 4.710 6.793
angles: 90.00 90.05 90.00
Atoms (fractional coordinates):
Tl: 0.624 0.500 0.250
Tl: 0.124 0.000 0.998
Sb: 0.126 0.500 0.666
Li: 0.626 0.000 0.586

Summary:
raw total energy = -12.37 eV per cell
space group = No. 6
D(E_F) = 1.138 states/eV per cell
crystal system = monoclinic
theoretical density = 8.5 g/cm³

---

[3]
VASP calculation (PBEsol) on a relaxed LiTlSb2 crystal.

abc: 3.203 4.409 7.237
angles: 90.00 90.00 90.00
Atoms (fractional coordinates):
Tl: 0.500 0.500 0.000
Sb: 0.000 0.000 0.299
Sb: 0.000 0.000 0.701
Li: 0.500 0.500 0.500

Summary:
raw total energy = -14.50 eV per cell
space group = No. 47
D(E_F) = 1.046 states/eV per cell
crystal system = orthorhombic
theoretical density = 7.4 g/cm³

---

[4]
VASP calculation (PBEsol) on a relaxed LiTlSb2 crystal.

abc: 3.330 5.553 5.543
angles: 90.00 90.03 90.00
Atoms (fractional coordinates):
Li: 0.374 0.500 0.783
Sb: 0.875 0.000 0.984
Sb: 0.875 0.500 0.252
Tl: 0.376 0.000 0.482

Summary:
raw total energy = -14.13 eV per cell
space group = No. 25
D(E_F) = 1.739 states/eV per cell
crystal system = orthorhombic
theoretical density = 7.4 g/cm³

---

[5]
VASP calculation (PBEsol) on a relaxed LiTl2Sb2 crystal.

abc: 5.187 7.308 7.308
angles: 90.00 90.00 90.00
Atoms (fractional coordinates):
Li: 0.000 0.000 0.000
Li: 0.000 0.500 0.500
Sb: 0.000 0.362 0.862
Sb: 0.000 0.638 0.138
Sb: 0.000 0.862 0.638
Sb: 0.000 0.138 0.362
Tl: 0.500 0.828 0.328
Tl: 0.500 0.172 0.672
Tl: 0.500 0.672 0.828
Tl: 0.500 0.328 0.172

Summary:
raw total energy = -33.64 eV per cell
space group = No. 127
D(E_F) = 5.231 states/eV per cell
crystal system = tetragonal
theoretical density = 7.9 g/cm³

---

[6]
VASP calculation (PBEsol) on a relaxed LiTl2Sb crystal.

abc: 3.424 3.424 8.371
angles: 90.00 90.00 89.97
Atoms (fractional coordinates):
Sb: 0.500 0.500 0.293
Tl: 0.000 0.000 0.009
Tl: 0.500 0.500 0.711
Li: 0.000 0.000 0.487

Summary:
raw total energy = -12.41 eV per cell
space group = No. 99
D(E_F) = 1.150 states/eV per cell
crystal system = tetragonal
theoretical density = 9.1 g/cm³

---

[7]
VASP calculation (PBEsol) on a relaxed LiTlSb2 crystal.

abc: 5.234 5.234 5.234
angles: 60.00 60.00 60.00
Atoms (fractional coordinates):
Li: 0.500 0.500 0.500
Sb: 0.750 0.750 0.750
Sb: 0.000 0.000 0.000
Tl: 0.250 0.250 0.250

Summary:
raw total energy = -13.82 eV per cell
space group = No. 216
D(E_F) = 2.972 states/eV per cell
crystal system = cubic
theoretical density = 7.4 g/cm³

---

[8]
VASP calculation (PBEsol) on a relaxed LiTl2Sb crystal.

abc: 5.301 5.301 5.301
angles: 60.00 60.00 60.00
Atoms (fractional coordinates):
Tl: 0.750 0.750 0.750
Tl: 0.000 0.000 0.000
Sb: 0.250 0.250 0.250
Li: 0.500 0.500 0.500

Summary:
raw total energy = -12.34 eV per cell
space group = No. 216
D(E_F) = 0.427 states/eV per cell
crystal system = cubic
theoretical density = 8.5 g/cm³

---

[9]
VASP calculation (PBEsol) on a relaxed LiTlSb2 crystal.

abc: 3.985 5.159 5.854
angles: 104.10 90.00 112.72
Atoms (fractional coordinates):
Li: 0.500 0.000 0.000
Tl: 0.000 0.000 0.500
Sb: 0.754 0.509 0.818
Sb: 0.246 0.491 0.182

Summary:
raw total energy = -14.41 eV per cell
space group = No. 12
D(E_F) = 1.070 states/eV per cell
crystal system = monoclinic
theoretical density = 7.1 g/cm³

---

[10]
VASP calculation (PBEsol) on a relaxed LiTlSb2 crystal.

abc: 4.522 4.522 4.922
angles: 90.00 90.00 90.00
Atoms (fractional coordinates):
Sb: 0.500 0.000 0.000
Sb: 0.000 0.500 0.000
Tl: 0.500 0.500 0.500
Li: 0.000 0.000 0.500

Summary:
raw total energy = -14.31 eV per cell
space group = No. 123
D(E_F) = 1.504 states/eV per cell
crystal system = tetragonal
theoretical density = 7.5 g/cm³

---

[11]
VASP calculation (PBEsol) on a relaxed LiSbW crystal.

abc: 2.907 2.907 7.164
angles: 98.08 98.08 107.90
Atoms (fractional coordinates):
W: 0.666 0.666 0.333
Li: 0.011 0.011 0.022
Sb: 0.322 0.322 0.645

Summary:
raw total energy = -18.84 eV per cell
space group = No. 42
D(E_F) = 1.453 states/eV per cell
crystal system = orthorhombic
theoretical density = 9.3 g/cm³

---

[12]
VASP calculation (PBEsol) on a relaxed LiSbW crystal.

abc: 4.406 4.406 4.406
angles: 60.00 60.00 60.00
Atoms (fractional coordinates):
Li: 0.500 0.500 0.500
W: 0.000 0.000 0.000
Sb: 0.250 0.250 0.250

Summary:
raw total energy = -18.08 eV per cell
space group = No. 216
D(E_F) = 2.496 states/eV per cell
crystal system = cubic
theoretical density = 8.6 g/cm³